Version a
First-principles (meta-GGA SCAN) data for a crystal of MgZn2Br relaxed with PBEsol, as listed in Alexandria via LeMat-Bulk.

```
MgZn2Br
1.0
-0.831 1.372 2.875
-4.249 -0.814 -0.839
0.466 -5.066 2.552
Zn Mg Br
2 1 1
Direct
0.000 0.000 0.000
0.500 0.500 0.000
0.000 0.500 0.500
0.500 0.000 0.500
```

**Space group**: No. 47
**Mass density**: 4.73 g/cm3



Version b
First-principles (meta-GGA SCAN) data for a crystal of MgZn2Br relaxed with PBEsol, as listed in Alexandria via LeMat-Bulk.

```
MgZn2Br
1.0
4.193 0.000 0.000
0.000 4.193 0.000
-2.096 -2.096 4.571
Mg Br Zn
1 1 2
Direct
0.250 0.750 0.500
0.500 0.500 0.000
0.000 0.000 0.000
0.750 0.250 0.500
```

**Space group**: No. 119
**Mass density**: 4.86 g/cm3



Version c
First-principles (meta-GGA SCAN) data for a crystal of MgZn2Br relaxed with PBEsol, as listed in Alexandria via LeMat-Bulk.

```
MgZn2Br
1.0
3.301 0.000 0.000
1.651 5.322 0.169
1.651 2.212 4.843
Zn Mg Br
2 1 1
Direct
0.723 0.777 0.777
0.003 0.997 0.997
0.253 0.247 0.247
0.520 0.480 0.480
```

**Space group**: No. 44
**Mass density**: 4.65 g/cm3



What should be chosen as the most stable of them? Choose version c.



Version a
First-principles (meta-GGA SCAN) data for a crystal of Mg2ZnBr relaxed with PBEsol, as listed in Alexandria via LeMat-Bulk.

```
Mg2ZnBr
1.0
-0.751 -0.645 -3.130
2.642 -2.116 -0.198
-4.506 -5.863 2.288
Mg Br Zn
2 1 1
Direct
0.000 0.501 0.287
0.000 0.499 0.713
0.500 0.500 0.000
0.500 0.000 0.500
```

**Space group**: No. 10
**Mass density**: 3.74 g/cm3



Version b
First-principles (meta-GGA SCAN) data for a crystal of Mg2ZnBr relaxed with PBEsol, as listed in Alexandria via LeMat-Bulk.

```
Mg2ZnBr
1.0
-2.086 -2.672 -3.878
3.031 -2.537 -3.303
0.130 -5.149 0.057
Mg Br Zn
2 1 1
Direct
0.750 0.750 0.750
0.000 0.000 0.000
0.500 0.500 0.500
0.250 0.250 0.250
```

**Space group**: No. 216
**Mass density**: 3.33 g/cm3



What should be chosen as the most stable of them? Choose version a.



Version a
First-principles (meta-GGA SCAN) data for a crystal of MnMo2Br relaxed with PBEsol, as listed in Alexandria via LeMat-Bulk.

```
MnMo2Br
1.0
3.678 0.000 0.000
0.000 3.678 0.000
-1.839 -1.839 4.556
Br Mo Mn
1 2 1
Direct
0.500 0.500 0.000
0.250 0.750 0.500
0.750 0.250 0.500
0.000 0.000 0.000
```

**Space group**: No. 139
**Mass density**: 8.80 g/cm3



Version b
First-principles (meta-GGA SCAN) data for a crystal of MnMo2Br relaxed with PBEsol, as listed in Alexandria via LeMat-Bulk.

```
MnMo2Br
1.0
-1.095 2.642 0.506
-2.680 0.278 1.086
1.808 0.788 8.143
Mn Br Mo
1 1 2
Direct
0.000 0.000 0.000
0.500 0.500 0.500
0.256 0.256 0.233
0.744 0.744 0.767
```

**Space group**: No. 166
**Mass density**: 9.05 g/cm3



What should be chosen as the most stable of them? Choose version b.



Version a
First-principles (meta-GGA SCAN) data for a crystal of Mn2NiBr relaxed with PBEsol, as listed in Alexandria via LeMat-Bulk.

```
Mn2NiBr
1.0
-2.663 0.241 1.430
0.253 -4.173 1.176
2.061 1.152 3.645
Mn Ni Br
2 1 1
Direct
0.000 0.500 0.000
0.000 0.000 0.500
0.500 0.500 0.500
0.500 0.000 0.000
```

**Space group**: No. 123
**Mass density**: 7.22 g/cm3



Version b
First-principles (meta-GGA SCAN) data for a crystal of Mn2NiBr relaxed with PBEsol, as listed in Alexandria via LeMat-Bulk.

```
Mn2NiBr
1.0
-0.453 0.424 -2.938
2.844 -3.260 -0.908
-3.964 -1.928 0.333
Mn Br Ni
2 1 1
Direct
0.000 0.000 0.500
0.000 0.500 0.000
0.500 0.500 0.500
0.500 0.000 0.000
```

**Space group**: No. 65
**Mass density**: 7.31 g/cm3



What should be chosen as the most stable of them? Choose version b.



Version a
First-principles (meta-GGA SCAN) data for a crystal of MnOs2Br relaxed with PBEsol, as listed in Alexandria via LeMat-Bulk.

```
MnOs2Br
1.0
-1.941 1.240 1.703
-2.941 -3.244 -1.300
3.814 -1.642 3.289
Mn Os Br
1 2 1
Direct
0.000 0.500 0.000
0.000 0.000 0.500
0.500 0.500 0.500
0.500 0.000 0.000
```

**Space group**: No. 12
**Mass density**: 14.26 g/cm3



Version b
First-principles (meta-GGA SCAN) data for a crystal of MnOs2Br relaxed with PBEsol, as listed in Alexandria via LeMat-Bulk.

```
MnOs2Br
1.0
-2.130 1.054 -1.822
-2.105 -1.113 1.816
-0.084 5.694 3.393
Br Mn Os
1 1 2
Direct
0.500 0.500 0.000
0.500 0.500 0.500
0.000 0.000 0.296
0.000 0.000 0.704
```

**Space group**: No. 123
**Mass density**: 14.39 g/cm3



What should be chosen as the most stable of them? Choose version b.



Version a
First-principles (meta-GGA SCAN) data for a crystal of MnRe2Br relaxed with PBEsol, as listed in Alexandria via LeMat-Bulk.

```
MnRe2Br
1.0
2.887 0.000 0.000
0.000 4.228 -0.010
-1.443 -0.549 5.029
Re Mn Br
2 1 1
Direct
0.710 0.717 0.420
0.290 0.283 0.580
0.000 0.500 0.000
0.500 0.000 0.000
```

**Space group**: No. 12
**Mass density**: 13.73 g/cm3



Version b
First-principles (meta-GGA SCAN) data for a crystal of MnRe2Br relaxed with PBEsol, as listed in Alexandria via LeMat-Bulk.

```
MnRe2Br
1.0
2.983 0.000 0.000
0.000 2.983 0.000
0.000 0.000 7.095
Re Br Mn
2 1 1
Direct
0.000 0.000 0.010
0.500 0.500 0.217
0.000 0.000 0.512
0.500 0.500 0.761
```

**Space group**: No. 99
**Mass density**: 13.34 g/cm3



Version c
First-principles (meta-GGA SCAN) data for a crystal of MnRe2Br relaxed with PBEsol, as listed in Alexandria via LeMat-Bulk.

```
MnRe2Br
1.0
-2.124 -1.964 0.730
-0.275 -0.769 -2.869
4.529 -4.601 0.798
Re Mn Br
2 1 1
Direct
0.000 0.000 0.283
0.000 0.000 0.717
0.500 0.500 0.500
0.500 0.500 0.000
```

**Space group**: No. 123
**Mass density**: 14.55 g/cm3



What should be chosen as the most stable of them? Choose version b.



Version a
First-principles (meta-GGA SCAN) data for a crystal of Mn2ReBr relaxed with PBEsol, as listed in Alexandria via LeMat-Bulk.

```
Mn2ReBr
1.0
2.963 0.000 0.000
0.000 2.963 0.000
0.000 0.000 6.850
Br Mn Re
1 2 1
Direct
0.500 0.500 0.768
0.500 0.500 0.261
0.000 0.000 0.029
0.000 0.000 0.442
```

**Space group**: No. 99
**Mass density**: 10.38 g/cm3



Version b
First-principles (meta-GGA SCAN) data for a crystal of Mn2ReBr relaxed with PBEsol, as listed in Alexandria via LeMat-Bulk.

```
Mn2ReBr
1.0
-2.156 1.429 -1.370
-1.818 -2.232 0.533
-1.906 3.021 6.148
Br Mn Re
1 2 1
Direct
0.500 0.500 0.500
0.000 0.000 0.222
0.000 0.000 0.778
0.500 0.500 0.000
```

**Space group**: No. 123
**Mass density**: 10.25 g/cm3



What should be chosen as the most stable of them? Choose version b.



Version a
First-principles (meta-GGA SCAN) data for a crystal of MnRuBr relaxed with PBEsol, as listed in Alexandria via LeMat-Bulk.

```
MnRuBr
1.0
3.082 0.000 0.000
-1.541 2.669 0.000
0.000 0.000 5.811
Br Ru Mn
1 1 1
Direct
0.000 0.000 0.980
0.667 0.333 0.366
0.333 0.667 0.654
```

**Space group**: No. 156
**Mass density**: 8.20 g/cm3



Version b
First-principles (meta-GGA SCAN) data for a crystal of MnRuBr relaxed with PBEsol, as listed in Alexandria via LeMat-Bulk.

```
MnRuBr
1.0
-2.885 0.694 -0.233
-0.671 -2.886 -0.286
1.264 0.702 5.440
Ru Mn Br
1 1 1
Direct
0.684 0.684 0.369
0.318 0.318 0.635
0.998 0.998 0.996
```

**Space group**: No. 107
**Mass density**: 8.47 g/cm3



What should be chosen as the most stable of them? Choose version a.



Version a
First-principles (meta-GGA SCAN) data for a crystal of MnSbBr2 relaxed with PBEsol, as listed in Alexandria via LeMat-Bulk.

```
MnSbBr2
1.0
3.416 0.000 0.000
0.000 5.172 -0.009
-1.708 -1.347 6.082
Sb Mn Br
1 1 2
Direct
0.500 0.000 0.000
0.000 0.500 0.000
0.661 0.695 0.322
0.339 0.305 0.678
```

**Space group**: No. 12
**Mass density**: 5.20 g/cm3



Version b
First-principles (meta-GGA SCAN) data for a crystal of MnSbBr2 relaxed with PBEsol, as listed in Alexandria via LeMat-Bulk.

```
MnSbBr2
1.0
-1.288 -0.521 2.909
1.261 -2.967 0.026
8.561 3.677 4.450
Sb Mn Br
1 1 2
Direct
0.500 0.500 0.500
0.500 0.500 0.000
0.000 0.000 0.842
0.000 0.000 0.158
```

**Space group**: No. 123
**Mass density**: 5.21 g/cm3



Version c
First-principles (meta-GGA SCAN) data for a crystal of MnSbBr2 relaxed with PBEsol, as listed in Alexandria via LeMat-Bulk.

```
MnSbBr2
1.0
-5.978 1.413 -3.341
4.176 -0.315 -5.600
-2.563 -4.518 4.681
Mn Sb Br
2 2 4
Direct
0.500 0.250 0.750
0.000 0.500 0.500
0.000 0.000 0.000
0.500 0.750 0.250
0.854 0.479 0.125
0.646 0.375 0.521
0.146 0.271 0.625
0.354 0.875 0.729
```

**Space group**: No. 122
**Mass density**: 5.12 g/cm3



What should be chosen as the most stable of them? Choose version a.



Version a
First-principles (meta-GGA SCAN) data for a crystal of MnSbBr2 relaxed with PBEsol, as listed in Alexandria via LeMat-Bulk.

```
MnSbBr2
1.0
-3.915 1.986 -2.453
-3.312 -3.004 -2.301
-4.647 -0.505 1.854
Br Mn Sb
2 1 1
Direct
0.250 0.250 0.250
0.750 0.750 0.750
0.000 0.000 0.000
0.500 0.500 0.500
```

**Space group**: No. 225
**Mass density**: 6.21 g/cm3



Version b
First-principles (meta-GGA SCAN) data for a crystal of MnSbBr2 relaxed with PBEsol, as listed in Alexandria via LeMat-Bulk.

```
MnSbBr2
1.0
3.475 0.000 0.000
0.000 5.346 0.000
-1.738 -2.673 6.339
Br Sb Mn
2 1 1
Direct
0.059 0.059 0.119
0.833 0.333 0.667
0.135 0.635 0.271
0.472 0.472 0.944
```

**Space group**: No. 44
**Mass density**: 4.75 g/cm3



What should be chosen as the most stable of them? Choose version b.



Version a
First-principles (meta-GGA SCAN) data for a crystal of Mn2SbBr relaxed with PBEsol, as listed in Alexandria via LeMat-Bulk.

```
Mn2SbBr
1.0
3.296 0.000 0.000
0.000 3.296 0.000
0.000 0.000 6.821
Sb Mn Br
1 2 1
Direct
0.500 0.500 0.000
0.000 0.000 0.780
0.000 0.000 0.220
0.500 0.500 0.500
```

**Space group**: No. 123
**Mass density**: 6.98 g/cm3



Version b
First-principles (meta-GGA SCAN) data for a crystal of Mn2SbBr relaxed with PBEsol, as listed in Alexandria via LeMat-Bulk.

```
Mn2SbBr
1.0
-2.561 1.645 1.387
-1.792 -0.437 -2.791
-2.549 -6.161 2.601
Mn Br Sb
2 1 1
Direct
0.500 0.500 0.223
0.000 0.000 0.024
0.500 0.500 0.845
0.000 0.000 0.407
```

**Space group**: No. 99
**Mass density**: 6.46 g/cm3



What should be chosen as the most stable of them? Choose version b.



Version a
First-principles (meta-GGA SCAN) data for a crystal of ScMn2Br relaxed with PBEsol, as listed in Alexandria via LeMat-Bulk.

```
ScMn2Br
1.0
-0.702 -2.001 2.327
3.557 1.446 2.315
-2.710 3.355 2.068
Mn Sc Br
2 1 1
Direct
0.500 0.500 0.000
0.000 0.000 0.000
0.500 0.000 0.500
0.000 0.500 0.500
```

**Space group**: No. 47
**Mass density**: 5.77 g/cm3



Version b
First-principles (meta-GGA SCAN) data for a crystal of ScMn2Br relaxed with PBEsol, as listed in Alexandria via LeMat-Bulk.

```
ScMn2Br
1.0
-0.523 1.810 2.898
-3.343 0.335 -0.813
-1.145 -4.738 2.753
Sc Mn Br
1 2 1
Direct
0.500 0.500 0.000
0.000 0.000 0.237
0.000 0.000 0.763
0.500 0.500 0.500
```

**Space group**: No. 123
**Mass density**: 5.83 g/cm3



Version c
First-principles (meta-GGA SCAN) data for a crystal of ScMn2Br relaxed with PBEsol, as listed in Alexandria via LeMat-Bulk.

```
ScMn2Br
1.0
3.090 -0.002 0.000
-0.076 4.521 0.000
-1.507 -2.259 4.858
Mn Sc Br
2 1 1
Direct
0.000 0.000 0.500
0.500 0.500 0.500
0.000 0.500 0.000
0.500 0.000 0.000
```

**Space group**: No. 12
**Mass density**: 5.74 g/cm3



What should be chosen as the most stable of them? Choose version b.